No. 1
Density functional theory data (PBE-GGA) for a relaxed Re4WCl crystal.

Cell: 5.218 5.218 5.218 Å, 60.00 60.00 60.00°
Sites, in units of the cell vectors:
W  0.750  0.750  0.750
Re  0.876  0.375  0.375
Cl  0.000  0.000  0.000
Re  0.375  0.876  0.375
Re  0.375  0.375  0.876
Re  0.375  0.375  0.375

Summary:
D(E_F): 8.64 states/eV per cell
theoretical density: 15.9 Mg/m³
ΔE_f (raw): 6.70 eV per formula unit
symmetry: F-43m


No. 2
Density functional theory data (PBE-GGA) for a relaxed Re3WCl crystal.

Cell: 4.324 4.324 4.324 Å, 90.00 90.00 90.00°
Sites, in units of the cell vectors:
Re  0.000  0.000  0.500
Cl  0.000  0.000  0.000
Re  0.500  0.000  0.000
W  0.500  0.500  0.500
Re  0.000  0.500  0.000

Summary:
D(E_F): 3.91 states/eV per cell
theoretical density: 16.0 Mg/m³
ΔE_f (raw): 8.61 eV per formula unit
symmetry: Pm-3m
distance to the lowest polymorph of the same formula: 0.00 eV/f.u.


No. 3
Density functional theory data (PBE-GGA) for a relaxed Re3WCl crystal.

Cell: 4.837 4.837 4.837 Å, 90.00 90.00 90.00°
Sites, in units of the cell vectors:
Re  0.000  0.500  0.000
Re  0.500  0.000  0.000
W  0.000  0.000  0.000
Re  0.000  0.000  0.500
Cl  0.500  0.500  0.500

Summary:
D(E_F): 7.20 states/eV per cell
theoretical density: 11.4 Mg/m³
ΔE_f (raw): 13.08 eV per formula unit
symmetry: Pm-3m
distance to the lowest polymorph of the same formula: 4.47 eV/f.u.


No. 4
Density functional theory data (PBE-GGA) for a relaxed ReWCl crystal.

Cell: 4.289 4.289 4.289 Å, 60.00 60.00 60.00°
Sites, in units of the cell vectors:
Cl  0.500  0.500  0.500
Re  0.750  0.750  0.750
W  0.000  0.000  0.000

Summary:
D(E_F): 1.55 states/eV per cell
theoretical density: 12.1 Mg/m³
ΔE_f (raw): 3.69 eV per formula unit
symmetry: F-43m
distance to the lowest polymorph of the same formula: 2.30 eV/f.u.


Question: Which formula does entry 3 have?
Answer: Re3WCl